YSbSN2, optimized geometry, DFT PBE; magnetic moment = 0.87 μB per cell; VASP energy = -0.205 hartree per atom; space-group type = P4/mmm
1.0
4.312 0.000 0.000
0.000 4.312 0.000
0.000 0.000 5.407
Y Sb S N
1 1 1 2
Direct
0.000 0.000 0.000
0.500 0.500 0.500
0.000 0.000 0.500
0.000 0.500 0.000
0.500 0.000 0.000

YSbS2N, optimized geometry, DFT PBE; magnetic moment = 1.53 μB per cell; VASP energy = -0.194 hartree per atom; space-group type = P4/mmm
1.0
5.283 0.000 0.000
0.000 5.283 0.000
0.000 0.000 4.327
Y Sb S N
1 1 2 1
Direct
0.000 0.000 0.000
0.500 0.500 0.500
0.000 0.500 0.000
0.500 0.000 0.000
0.000 0.000 0.500